[1]
GdCdCu | PBE-GGA | relaxed

The structure belongs to space group P-6m2 (No. 187); the cell edges are 4.7075, 4.7075 and 3.4268 Å and the angles 90.00°, 90.00° and 120.00°. The asymmetric unit holds Gd at (0.0000, 0.0000, 0.0000), Cd at (0.3333, 0.6667, 0.5000) and Cu at (0.6667, 0.3333, 0.5000).

[2]
Tc3Pb | PBE-GGA | relaxed

The structure belongs to space group P4/mmm (No. 123); the cell edges are 2.966, 2.966 and 7.693 Å and the angles 90.00°, 90.00° and 90.00°. The asymmetric unit holds Tc at (0.000, 0.000, 0.000), Tc at (0.500, 0.500, 0.219) and Pb at (0.000, 0.000, 0.500).

[3]
PmHoAlSi | PBE-GGA | relaxed

The structure belongs to space group Amm2 (No. 38); the cell edges are 4.017, 4.379 and 11.004 Å and the angles 90.00°, 90.00° and 90.00°. The asymmetric unit holds Pm at (0.000, 0.000, 0.000), Ho at (0.500, 0.000, 0.717), Al at (0.500, 0.000, 0.425) and Si at (0.000, 0.000, 0.281).

The value obtained for the formation energy without anion corrections is -0.63 eV/atom.

[4]
Ir3OsRh3 | PBE-GGA | relaxed

The structure belongs to space group P6_3/m (No. 176); the cell edges are 7.2569, 7.2569 and 4.4134 Å and the angles 90.00°, 90.00° and 120.00°. The asymmetric unit holds Ir at (0.0943, 0.4771, 0.2500), Os at (0.3333, 0.6667, 0.7500) and Rh at (0.0489, 0.2394, 0.7500).

[5]
LiTi3Sb | PBE-GGA | relaxed

The structure belongs to space group Pm-3m (No. 221); the cell edges are 4.441, 4.441 and 4.441 Å and the angles 90.00°, 90.00° and 90.00°. The asymmetric unit holds Li at (0.000, 0.000, 0.000), Ti at (0.000, 0.000, 0.500) and Sb at (0.500, 0.500, 0.500).

The value obtained for the formation energy without anion corrections is 0.42 eV/atom.

[6]
Rb5Au3 | PBE-GGA | relaxed

The structure belongs to space group P6_3/mcm (No. 193); the cell edges are 10.3126, 10.3126 and 7.6472 Å and the angles 90.00°, 90.00° and 120.00°. The asymmetric unit holds Rb at (0.0000, 0.2611, 0.2500), Rb at (0.3333, 0.6667, 0.0000) and Au at (0.0000, 0.3945, 0.7500).

[7]
Ho3Si4Ru2 | PBE-GGA | relaxed

The structure belongs to space group C2/m (No. 12); the cell edges are 10.587, 4.175 and 8.000 Å and the angles 90.00°, 108.75° and 90.00°. The asymmetric unit holds Ho at (0.000, 0.000, 0.000), Ho at (0.118, 0.500, 0.697), Si at (0.099, 0.000, 0.410), Si at (0.221, 0.500, 0.077) and Ru at (0.183, 0.500, 0.356).

The value obtained for the formation energy without anion corrections is -0.85 eV/atom.

[8]
Ba2TlCuH6 | PBE-GGA | relaxed

The structure belongs to space group C2/m (No. 12); the cell edges are 9.681, 5.584 and 6.602 Å and the angles 90.00°, 119.09° and 90.00°. The asymmetric unit holds Ba at (0.235, 0.000, 0.205), Tl at (0.000, 0.000, 0.500), Cu at (0.000, 0.500, 0.000), H at (0.019, 0.275, 0.830) and H at (0.208, 0.500, 0.169).

[9]
TbNd3Hg2 | PBE-GGA | relaxed

The structure belongs to space group Pmc2_1 (No. 26); the cell edges are 5.288, 9.592 and 7.113 Å and the angles 90.00°, 90.00° and 90.00°. The asymmetric unit holds Tb at (0.000, 0.054, 0.000), Nd at (0.000, 0.324, 0.661), Nd at (0.500, 0.171, 0.309), Nd at (0.500, 0.446, 0.973), Hg at (0.000, 0.348, 0.216) and Hg at (0.500, 0.149, 0.757).

[10]
NaCa2IrN | PBE-GGA | relaxed

The structure belongs to space group P4/mmm (No. 123); the cell edges are 5.168, 5.168 and 3.869 Å and the angles 90.00°, 90.00° and 90.00°. The asymmetric unit holds Na at (0.000, 0.000, 0.000), Ca at (0.000, 0.500, 0.500), Ir at (0.500, 0.500, 0.000) and N at (0.500, 0.500, 0.500).

The value obtained for the formation energy without anion corrections is -0.38 eV/atom.

[11]
KH2Pd2 | PBE-GGA | relaxed

The structure belongs to space group Cmcm (No. 63); the cell edges are 5.476, 5.477 and 11.010 Å and the angles 90.00°, 90.00° and 90.00°. The asymmetric unit holds K at (0.000, 0.249, 0.250), H at (0.000, 0.250, 0.507) and Pd at (0.250, 0.000, 0.000).

[12]
CePmGeRu | PBE-GGA | relaxed

The structure belongs to space group F-43m (No. 216); the cell edges are 7.129, 7.129 and 7.129 Å and the angles 90.00°, 90.00° and 90.00°. The asymmetric unit holds Ce at (0.000, 0.000, 0.000), Pm at (0.000, 0.000, 0.500), Ge at (0.250, 0.250, 0.750) and Ru at (0.250, 0.250, 0.250).

| no. | V (Å³/atom) | total magnetic moment (μB per cell) | VASP energy (eV/cell) |
| --- | --- | --- | --- |
| 1 | 21.9 | 7.20 | -19.735 |
| 2 | 16.9 | 0.74 | -32.883 |
| 3 | 24.2 | 0.00 | -42.010 |
| 4 | 14.4 | 0.00 | -119.241 |
| 5 | 17.5 | 0.00 | -27.611 |
| 6 | 44.0 | 0.00 | -32.820 |
| 7 | 18.6 | 0.00 | -123.174 |
| 8 | 15.6 | 0.00 | -64.585 |
| 9 | 30.1 | 0.00 | -43.034 |
| 10 | 20.7 | 0.00 | -24.386 |
| 11 | 16.5 | 0.00 | -77.131 |
| 12 | 22.6 | 0.99 | -103.865 |